# 1
8
Lattice="0.000 5.060 5.060 5.060 0.000 5.060 5.060 5.060 0.000" Properties=species:S:1:pos:R:3 comment="La7Mg | Alexandria via LeMat-Bulk | meta-GGA SCAN | single point on PBEsol structure" ef_mev_per_atom=-33 final_energy_ev_per_atom=-38.37 sg="Fm-3m (225)" pbc="T T T"
La 0.000 0.000 0.000
La 2.530 2.530 0.000
La 2.530 0.000 2.530
La 5.060 2.530 2.530
La 0.000 2.530 2.530
La 2.530 5.060 2.530
La 2.530 2.530 5.060
Mg 5.060 5.060 5.060

***

# 2
4
Lattice="3.484 0.000 0.000 0.000 4.807 0.000 0.000 0.000 5.406" Properties=species:S:1:pos:R:3 comment="LaMg2Mn | Alexandria via LeMat-Bulk | meta-GGA SCAN | single point on PBEsol structure" ef_mev_per_atom=92 final_energy_ev_per_atom=-17.73 sg="Pmmm (47)" pbc="T T T"
La 0.000 0.000 0.000
Mg 0.000 2.404 2.703
Mg 1.742 0.000 2.703
Mn 1.742 2.404 0.000